Material: LiGdLuRe
Method: DFT, PBE
State: optimized geometry

Properties
uncorrected energy: -131.03 eV for the cell shown
total magnetization: 7.0 μB/f.u.
energy relative to the elements: 0.051 eV per atom

Structure (CIF):
```
data_LiGdLuRe
_chemical_formula_sum 'Li4 Gd4 Lu4 Re4'
_cell_length_a 6.919
_cell_length_b 6.919
_cell_length_c 6.919
_cell_angle_alpha 90.00
_cell_angle_beta 90.00
_cell_angle_gamma 90.00
_symmetry_space_group_name_H-M 'F -4 3 m'
_symmetry_Int_Tables_number 216
_symmetry_space_group_name_Hall 'F -4 2 3'
loop_
_atom_site_label
_atom_site_fract_x
_atom_site_fract_y
_atom_site_fract_z
Li1 0.000 0.000 0.000
Gd1 0.250 0.250 0.750
Lu1 0.250 0.250 0.250
Re1 0.000 0.000 0.500
```


Material: LiCa4Pd2
Method: DFT, PBE
State: optimized geometry

Properties
distance to the lowest polymorph of the same formula: 9 meV/atom
uncorrected energy: -46.22 eV for the cell shown
total magnetization: 0.0 μB/f.u.
energy relative to the elements: -0.400 eV per atom

Structure (CIF):
```
data_LiCa4Pd2
_chemical_formula_sum 'Li2 Ca8 Pd4'
_cell_length_a 7.158
_cell_length_b 7.884
_cell_length_c 7.926
_cell_angle_alpha 102.11
_cell_angle_beta 106.59
_cell_angle_gamma 106.04
_symmetry_space_group_name_H-M 'P 1'
_symmetry_Int_Tables_number 1
_symmetry_space_group_name_Hall 'P 1'
loop_
_atom_site_label
_atom_site_fract_x
_atom_site_fract_y
_atom_site_fract_z
Li1 0.000 0.000 0.000
Li2 0.493 0.013 0.988
Ca1 0.097 0.634 0.056
Ca2 0.104 0.750 0.605
Ca3 0.196 0.246 0.744
Ca4 0.464 0.319 0.291
Ca5 0.602 0.074 0.630
Ca6 0.604 0.619 0.738
Ca7 0.697 0.763 0.235
Ca8 0.963 0.301 0.302
Pd1 0.156 0.997 0.357
Pd2 0.369 0.665 0.406
Pd3 0.650 0.372 0.989
Pd4 0.869 0.418 0.645
```


Material: Ba6TeSe2Br3
Method: DFT, PBE
State: optimized geometry

Properties
uncorrected energy: -96.26 eV for the cell shown
total magnetization: 0.0 μB/f.u.

Structure (CIF):
```
data_Ba6TeSe2Br3
_chemical_formula_sum 'Ba12 Te2 Se4 Br6'
_cell_length_a 8.303
_cell_length_b 14.356
_cell_length_c 8.246
_cell_angle_alpha 90.00
_cell_angle_beta 109.56
_cell_angle_gamma 90.00
_symmetry_space_group_name_H-M 'C 1 2/m 1'
_symmetry_Int_Tables_number 12
_symmetry_space_group_name_Hall '-C 2y'
loop_
_atom_site_label
_atom_site_fract_x
_atom_site_fract_y
_atom_site_fract_z
Ba1 0.232 0.000 0.233
Ba2 0.249 0.173 0.765
Te1 0.000 0.500 0.000
Se1 0.000 0.167 0.000
Br1 0.000 0.000 0.500
Br2 0.000 0.338 0.500
```